The following is a PBE-GGA calculation of a relaxed structure of Ac3CeIr2, from Alexandria via LeMat-Bulk.

Summary:
Energy of formation in kcal/mol of atoms: -12.42
M_tot in μB/atom: 0.164
Final energy in eV/atom: -6.5354

Lattice parameters (Å, degrees): 9.291 9.291 13.255 56.18 56.18 27.19
Last column: magnetic moment on the atom in μB.
Positions (direct):
Ac (0.938, 0.938, 0.196)  0.01
Ac (0.062, 0.062, 0.804)  0.01
Ac (0.315, 0.315, 0.050)  0.01
Ac (0.685, 0.685, 0.950)  0.01
Ac (0.186, 0.186, 0.438)  0.02
Ac (0.814, 0.814, 0.562)  0.02
Ce (0.555, 0.555, 0.307)  0.69
Ce (0.445, 0.445, 0.693)  0.69
Ir (0.122, 0.122, 0.142)  -0.03
Ir (0.878, 0.878, 0.858)  -0.03
Ir (0.378, 0.378, 0.378)  -0.01
Ir (0.622, 0.622, 0.622)  -0.01